<i>
ZnSnRu3 | PBE-GGA | optimized geometry

Calculated values
The total magnetization comes out at 4.0 μB/f.u. As for the crystal system: cubic.

Cell and atoms, written as CIF:
```
data_ZnSnRu3
_chemical_formula_sum 'Zn1 Sn1 Ru3'
_cell_length_a 4.8627
_cell_length_b 4.8627
_cell_length_c 4.8627
_cell_angle_alpha 90.00
_cell_angle_beta 90.00
_cell_angle_gamma 90.00
_space_group_name_H-M_alt 'P 1'
_space_group_IT_number 1
loop_
_space_group_symop_operation_xyz
'x,y,z'
loop_
_atom_site_label
_atom_site_type_symbol
_atom_site_fract_x
_atom_site_fract_y
_atom_site_fract_z
_atom_site_occupancy
Zn1 Zn 0.0000 0.0000 0.0000 1
Sn1 Sn 0.5000 0.5000 0.5000 1
Ru1 Ru 0.0000 0.5000 0.5000 1
Ru2 Ru 0.5000 0.0000 0.5000 1
Ru3 Ru 0.5000 0.5000 0.0000 1
```

---

<ii>
ZnSnRu3 | PBE-GGA | optimized geometry

Calculated values
The total magnetization comes out at 2.0 μB/f.u. As for the crystal system: cubic.

Cell and atoms, written as CIF:
```
data_ZnSnRu3
_chemical_formula_sum 'Zn1 Sn1 Ru3'
_cell_length_a 4.5180
_cell_length_b 4.5180
_cell_length_c 4.5180
_cell_angle_alpha 90.00
_cell_angle_beta 90.00
_cell_angle_gamma 90.00
_space_group_name_H-M_alt 'P 1'
_space_group_IT_number 1
loop_
_space_group_symop_operation_xyz
'x,y,z'
loop_
_atom_site_label
_atom_site_type_symbol
_atom_site_fract_x
_atom_site_fract_y
_atom_site_fract_z
_atom_site_occupancy
Zn1 Zn 0.0000 0.0000 0.0000 1
Sn1 Sn 0.5000 0.5000 0.5000 1
Ru1 Ru 0.0000 0.0000 0.5000 1
Ru2 Ru 0.0000 0.5000 0.0000 1
Ru3 Ru 0.5000 0.0000 0.0000 1
```

---

Which of them is the most stable, and which is the least stable? <ii> and <i>, in that order.

---

<i>
ZrSnRu3 | PBE-GGA | optimized geometry

Calculated values
The total magnetization comes out at 2.0 μB/f.u. As for the crystal system: cubic.

Cell and atoms, written as CIF:
```
data_ZrSnRu3
_chemical_formula_sum 'Zr1 Sn1 Ru3'
_cell_length_a 4.7912
_cell_length_b 4.7912
_cell_length_c 4.7912
_cell_angle_alpha 90.00
_cell_angle_beta 90.00
_cell_angle_gamma 90.00
_space_group_name_H-M_alt 'P 1'
_space_group_IT_number 1
loop_
_space_group_symop_operation_xyz
'x,y,z'
loop_
_atom_site_label
_atom_site_type_symbol
_atom_site_fract_x
_atom_site_fract_y
_atom_site_fract_z
_atom_site_occupancy
Zr1 Zr 0.0000 0.0000 0.0000 1
Sn1 Sn 0.5000 0.5000 0.5000 1
Ru1 Ru 0.0000 0.0000 0.5000 1
Ru2 Ru 0.0000 0.5000 0.0000 1
Ru3 Ru 0.5000 0.0000 0.0000 1
```

---

<ii>
ZrSnRu3 | PBE-GGA | optimized geometry

Calculated values
The total magnetization comes out at 0.0 μB/f.u. As for the crystal system: cubic.

Cell and atoms, written as CIF:
```
data_ZrSnRu3
_chemical_formula_sum 'Zr1 Sn1 Ru3'
_cell_length_a 4.7633
_cell_length_b 4.7633
_cell_length_c 4.7633
_cell_angle_alpha 90.00
_cell_angle_beta 90.00
_cell_angle_gamma 90.00
_space_group_name_H-M_alt 'P 1'
_space_group_IT_number 1
loop_
_space_group_symop_operation_xyz
'x,y,z'
loop_
_atom_site_label
_atom_site_type_symbol
_atom_site_fract_x
_atom_site_fract_y
_atom_site_fract_z
_atom_site_occupancy
Zr1 Zr 0.0000 0.0000 0.0000 1
Sn1 Sn 0.5000 0.5000 0.5000 1
Ru1 Ru 0.0000 0.5000 0.5000 1
Ru2 Ru 0.5000 0.0000 0.5000 1
Ru3 Ru 0.5000 0.5000 0.0000 1
```

---

Which of them is the most stable, and which is the least stable? <ii> and <i>, in that order.

---

<i>
SrTa2Ru | PBE-GGA | optimized geometry

Calculated values
The total magnetization comes out at 0.0 μB/f.u. As for the crystal system: tetragonal.

Cell and atoms, written as CIF:
```
data_SrTa2Ru
_chemical_formula_sum 'Sr1 Ta2 Ru1'
_cell_length_a 3.0153
_cell_length_b 3.0153
_cell_length_c 9.4052
_cell_angle_alpha 90.00
_cell_angle_beta 90.00
_cell_angle_gamma 90.00
_space_group_name_H-M_alt 'P 1'
_space_group_IT_number 1
loop_
_space_group_symop_operation_xyz
'x,y,z'
loop_
_atom_site_label
_atom_site_type_symbol
_atom_site_fract_x
_atom_site_fract_y
_atom_site_fract_z
_atom_site_occupancy
Sr1 Sr 0.0000 0.0000 0.0000 1
Ta1 Ta 0.5000 0.5000 0.3171 1
Ta2 Ta 0.5000 0.5000 0.6829 1
Ru1 Ru 0.0000 0.0000 0.5000 1
```

---

<ii>
SrTa2Ru | PBE-GGA | optimized geometry

Calculated values
The total magnetization comes out at 0.2 μB/f.u. As for the crystal system: orthorhombic.

Cell and atoms, written as CIF:
```
data_SrTa2Ru
_chemical_formula_sum 'Sr2 Ta4 Ru2'
_cell_length_a 5.5444
_cell_length_b 10.0477
_cell_length_c 2.8559
_cell_angle_alpha 90.00
_cell_angle_beta 90.00
_cell_angle_gamma 90.00
_space_group_name_H-M_alt 'P 1'
_space_group_IT_number 1
loop_
_space_group_symop_operation_xyz
'x,y,z'
loop_
_atom_site_label
_atom_site_type_symbol
_atom_site_fract_x
_atom_site_fract_y
_atom_site_fract_z
_atom_site_occupancy
Sr1 Sr 0.0000 0.0000 0.0000 1
Sr2 Sr 0.5000 0.5000 0.0000 1
Ta1 Ta 0.2500 0.2500 0.5000 1
Ta2 Ta 0.2500 0.7500 0.5000 1
Ta3 Ta 0.7500 0.2500 0.5000 1
Ta4 Ta 0.7500 0.7500 0.5000 1
Ru1 Ru 0.0000 0.5000 0.0000 1
Ru2 Ru 0.5000 0.0000 0.0000 1
```

---

Which of them is the most stable, and which is the least stable? <i> and <ii>, in that order.

---

<i>
SrTa2Ru | PBE-GGA | optimized geometry

Calculated values
The total magnetization comes out at 0.0 μB/f.u. As for the crystal system: orthorhombic.

Cell and atoms, written as CIF:
```
data_SrTa2Ru
_chemical_formula_sum 'Sr2 Ta4 Ru2'
_cell_length_a 3.0776
_cell_length_b 5.1907
_cell_length_c 10.5529
_cell_angle_alpha 90.00
_cell_angle_beta 90.00
_cell_angle_gamma 90.00
_space_group_name_H-M_alt 'P 1'
_space_group_IT_number 1
loop_
_space_group_symop_operation_xyz
'x,y,z'
loop_
_atom_site_label
_atom_site_type_symbol
_atom_site_fract_x
_atom_site_fract_y
_atom_site_fract_z
_atom_site_occupancy
Sr1 Sr 0.0000 0.0000 0.0000 1
Sr2 Sr 0.5000 0.5000 0.5000 1
Ta1 Ta 0.0000 0.5000 0.2047 1
Ta2 Ta 0.0000 0.5000 0.7953 1
Ta3 Ta 0.5000 0.0000 0.2953 1
Ta4 Ta 0.5000 0.0000 0.7047 1
Ru1 Ru 0.0000 0.0000 0.5000 1
Ru2 Ru 0.5000 0.5000 0.0000 1
```

---

<ii>
SrTa2Ru | PBE-GGA | optimized geometry

Calculated values
The total magnetization comes out at 0.0 μB/f.u. As for the crystal system: tetragonal.

Cell and atoms, written as CIF:
```
data_SrTa2Ru
_chemical_formula_sum 'Sr1 Ta2 Ru1'
_cell_length_a 3.1791
_cell_length_b 3.1791
_cell_length_c 8.5641
_cell_angle_alpha 90.00
_cell_angle_beta 90.00
_cell_angle_gamma 90.00
_space_group_name_H-M_alt 'P 1'
_space_group_IT_number 1
loop_
_space_group_symop_operation_xyz
'x,y,z'
loop_
_atom_site_label
_atom_site_type_symbol
_atom_site_fract_x
_atom_site_fract_y
_atom_site_fract_z
_atom_site_occupancy
Sr1 Sr 0.0000 0.0000 0.0000 1
Ta1 Ta 0.0000 0.0000 0.5647 1
Ta2 Ta 0.5000 0.5000 0.3480 1
Ru1 Ru 0.5000 0.5000 0.7243 1
```

---

Which of them is the most stable, and which is the least stable? <ii> and <i>, in that order.